1.
Li8Si2Hg, relaxed, DFT PBE-GGA; final energy = -28.667 eV per cell; formation energy without anion corrections = -201 meV per atom
1.0
7.643 -2.186 0.000
7.643 2.186 0.000
-0.094 0.000 5.103
Li Si Hg
8 2 1
Cartesian
0.756 0.000 1.390
2.013 0.000 4.257
4.643 0.000 4.609
6.034 0.000 2.320
9.158 0.000 2.783
10.548 0.000 0.494
13.179 0.000 0.846
14.436 0.000 3.713
3.365 0.000 1.974
11.826 0.000 3.129
7.643 0.000 0.000

---

2.
LiSiHg3, relaxed, DFT PBE-GGA; final energy = -5.826 eV per cell; formation energy without anion corrections = 483 meV per atom
1.0
4.889 0.000 0.000
0.000 4.889 0.000
0.000 0.000 4.889
Li Si Hg
1 1 3
Cartesian
0.000 0.000 0.000
2.445 2.445 2.445
0.000 0.000 2.445
0.000 2.445 0.000
2.445 0.000 0.000

---

3.
LiSiHg2, relaxed, DFT PBE-GGA; final energy = -7.255 eV per cell; formation energy without anion corrections = 171 meV per atom
1.0
1.611 0.930 8.995
-1.611 0.930 8.995
0.000 -1.860 8.995
Li Si Hg
1 1 2
Cartesian
0.000 0.000 0.000
0.000 0.000 13.493
0.000 0.000 6.861
0.000 0.000 20.126

---

4.
Li3SiHg, relaxed, DFT PBE-GGA; final energy = -9.846 eV per cell; formation energy without anion corrections = 324 meV per atom
1.0
4.830 0.000 0.000
0.000 4.830 0.000
0.000 0.000 4.830
Li Si Hg
3 1 1
Cartesian
0.000 0.000 2.415
0.000 2.415 0.000
2.415 0.000 0.000
2.415 2.415 2.415
0.000 0.000 0.000

---

5.
Li2SiHg, relaxed, DFT PBE-GGA; final energy = -10.099 eV per cell; formation energy without anion corrections = -137 meV per atom
1.0
4.014 0.000 0.000
0.000 4.014 0.000
0.000 0.000 4.062
Li Si Hg
2 1 1
Cartesian
0.000 2.007 0.000
2.007 0.000 0.000
0.000 0.000 2.031
2.007 2.007 2.031

---

6.
Li2Si2Hg, relaxed, DFT PBE-GGA; final energy = -30.341 eV per cell; formation energy without anion corrections = -39 meV per atom
1.0
7.921 0.000 0.000
0.000 7.921 0.000
0.000 0.000 2.752
Li Si Hg
4 4 2
Cartesian
1.522 2.438 0.000
2.438 6.399 0.000
5.483 1.522 0.000
6.399 5.483 0.000
0.823 4.783 1.376
3.138 0.823 1.376
4.783 7.098 1.376
7.098 3.138 1.376
0.000 0.000 1.376
3.960 3.960 1.376

---

7.
LiSiHg2, relaxed, DFT PBE-GGA; final energy = -7.491 eV per cell; formation energy without anion corrections = 112 meV per atom
1.0
2.105 -2.110 0.000
2.105 2.110 0.000
0.000 0.000 8.946
Li Si Hg
1 1 2
Cartesian
0.000 0.000 0.000
2.105 0.000 7.079
0.000 0.000 4.668
2.105 0.000 1.983

---

8.
LiSiHg2, relaxed, DFT PBE-GGA; final energy = -7.622 eV per cell; formation energy without anion corrections = 80 meV per atom
1.0
4.376 0.000 0.000
0.000 4.376 0.000
0.000 0.000 4.015
Li Si Hg
1 1 2
Cartesian
0.000 0.000 0.000
2.188 2.188 0.000
0.000 2.188 2.008
2.188 0.000 2.008